(1)
The following is a PBE-GGA calculation of an optimized crystal structure of La2CeTmBi5, from Alexandria via LeMat-Bulk.

Values from the calculation:
Final energy: -42.31 eV for the cell shown

Lattice parameters (Å, degrees): 5.4085 5.4085 12.0707 90.00 90.00 90.00
With the nearest neighbours (Å) after each atom.
Element x y z (fractional)
La1 0.0000 0.0000 0.2193  5 Bi 3.39-3.78
La2 0.0000 0.0000 0.7807  5 Bi 3.39-3.78
Ce1 0.5000 0.5000 0.5000  2 Bi 3.01
Tm1 0.5000 0.5000 0.0000  6 Bi 2.70-3.03
Bi1 0.0000 0.0000 0.5000  2 La 3.39
Bi2 0.0000 0.5000 0.0000  2 Tm 2.70
Bi3 0.5000 0.0000 0.0000  2 Tm 2.70
Bi4 0.5000 0.5000 0.2507  1 Ce 3.01, 1 Tm 3.03
Bi5 0.5000 0.5000 0.7493  1 Ce 3.01, 1 Tm 3.03

(2)
The following is a PBE-GGA calculation of an optimized crystal structure of BaAcZnPt, from Alexandria via LeMat-Bulk.

Values from the calculation:
Final energy: -15.23 eV for the cell shown

Lattice parameters (Å, degrees): 5.4925 5.4925 5.4925 60.00 60.00 60.00
With the nearest neighbours (Å) after each atom.
Element x y z (fractional)
Ba1 0.0000 0.0000 0.0000  4 Pt 3.36, 4 Zn 3.36
Ac1 0.5000 0.5000 0.5000  4 Zn 3.36, 4 Pt 3.36
Zn1 0.2500 0.2500 0.2500  4 Ac 3.36, 4 Ba 3.36
Pt1 0.7500 0.7500 0.7500  4 Ac 3.36, 4 Ba 3.36

(3)
The following is a PBE-GGA calculation of an optimized crystal structure of LaTa2Mo, from Alexandria via LeMat-Bulk.

Values from the calculation:
Final energy: -36.90 eV for the cell shown
Offset from the most stable computed form: 0.436 eV/atom

Lattice parameters (Å, degrees): 5.8406 5.8406 2.8596 90.00 90.00 123.79
With the nearest neighbours (Å) after each atom.
Element x y z (fractional)
La1 0.0000 0.0000 0.0000  2 Mo 2.75, 2 La 2.86
Ta1 0.0000 0.5000 0.5000  4 Ta 2.75-2.86
Ta2 0.5000 0.0000 0.5000  4 Ta 2.75-2.86
Mo1 0.5000 0.5000 0.0000  2 La 2.75, 2 Mo 2.86

(4)
The following is a PBE-GGA calculation of an optimized crystal structure of TlB2Pb, from Alexandria via LeMat-Bulk.

Values from the calculation:
Final energy: -12.78 eV for the cell shown
Offset from the most stable computed form: 0.332 eV/atom

Lattice parameters (Å, degrees): 4.7620 4.7620 4.7620 60.00 60.00 60.00
With the nearest neighbours (Å) after each atom.
Element x y z (fractional)
Tl1 0.0000 0.0000 0.0000  8 B 2.92
B1 0.2500 0.2500 0.2500  4 Tl 2.92, 4 Pb 2.92
B2 0.7500 0.7500 0.7500  4 Pb 2.92, 4 Tl 2.92
Pb1 0.5000 0.5000 0.5000  8 B 2.92

(5)
The following is a PBE-GGA calculation of an optimized crystal structure of Cs6K3HAu2, from Alexandria via LeMat-Bulk.

Values from the calculation:
Final energy: -19.85 eV for the cell shown

Lattice parameters (Å, degrees): 8.6242 8.6242 12.5525 96.49 96.49 119.87
With the nearest neighbours (Å) after each atom.
Element x y z (fractional)
Cs1 0.0519 0.3590 0.1581  1 H 3.28, 2 Au 3.57
Cs2 0.2556 0.2556 0.8382  1 H 3.32, 2 Au 3.57
Cs3 0.3590 0.0519 0.1581  1 H 3.28, 2 Au 3.57
Cs4 0.6410 0.9481 0.8419  1 H 3.28, 2 Au 3.57
Cs5 0.7444 0.7444 0.1618  1 H 3.32, 2 Au 3.57
Cs6 0.9481 0.6410 0.8419  1 H 3.28, 2 Au 3.57
K1 0.1708 0.8292 0.5000  6 K 4.91-5.10, 6 Cs 5.01-5.18
K2 0.5000 0.5000 0.5000  6 K 4.91-5.02, 6 Cs 5.02-5.15
K3 0.8292 0.1708 0.5000  6 K 4.91-5.10, 6 Cs 5.01-5.18
H1 0.0000 0.0000 0.0000  6 Cs 3.28-3.32
Au1 0.3342 0.6658 0.0000  6 Cs 3.57
Au2 0.6658 0.3342 0.0000  6 Cs 3.57

(6)
The following is a PBE-GGA calculation of an optimized crystal structure of FeSiNi2, from Alexandria via LeMat-Bulk.

Values from the calculation:
Uncorrected formation energy: -271 meV/atom
Final energy: -26.53 eV for the cell shown

Lattice parameters (Å, degrees): 4.7804 4.7804 4.7804 147.58 129.30 61.48
With the nearest neighbours (Å) after each atom.
Element x y z (fractional)
Fe1 0.0000 0.0000 0.0000  2 Si 2.37, 6 Ni 2.46-2.55
Si1 0.2382 0.7382 0.5000  6 Ni 2.29-2.44, 2 Fe 2.37
Ni1 0.4642 0.4642 0.0000  2 Si 2.29, 4 Fe 2.46
Ni2 0.7353 0.2353 0.5000  4 Si 2.44, 2 Fe 2.55, 4 Ni 2.60-2.67

(7)
The following is a PBE-GGA calculation of an optimized crystal structure of Hf3VOs, from Alexandria via LeMat-Bulk.

Values from the calculation:
Final energy: -46.72 eV for the cell shown
Offset from the most stable computed form: 0.000 eV/atom

Lattice parameters (Å, degrees): 4.9990 4.9990 4.9990 90.00 90.00 90.00
With the nearest neighbours (Å) after each atom.
Element x y z (fractional)
Hf1 0.0000 0.0000 0.5000  2 Os 2.50
Hf2 0.0000 0.5000 0.0000  2 Os 2.50
Hf3 0.5000 0.0000 0.0000  2 Os 2.50
V1 0.5000 0.5000 0.5000  12 Hf 3.53
Os1 0.0000 0.0000 0.0000  6 Hf 2.50

(8)
The following is a PBE-GGA calculation of an optimized crystal structure of SrCu2Au, from Alexandria via LeMat-Bulk.

Values from the calculation:
Final energy: -13.31 eV for the cell shown
Offset from the most stable computed form: 0.220 eV/atom

Lattice parameters (Å, degrees): 4.8107 4.8107 4.8107 60.00 60.00 60.00
With the nearest neighbours (Å) after each atom.
Element x y z (fractional)
Sr1 0.0000 0.0000 0.0000  8 Cu 2.95
Cu1 0.2500 0.2500 0.2500  4 Sr 2.95, 4 Au 2.95
Cu2 0.7500 0.7500 0.7500  4 Sr 2.95, 4 Au 2.95
Au1 0.5000 0.5000 0.5000  8 Cu 2.95

(9)
The following is a PBE-GGA calculation of an optimized crystal structure of ReHg, from Alexandria via LeMat-Bulk.

Values from the calculation:
Final energy: -94.05 eV for the cell shown
Offset from the most stable computed form: 0.105 eV/atom

Lattice parameters (Å, degrees): 10.3989 10.3989 2.8655 90.00 90.00 90.00
With the nearest neighbours (Å) after each atom.
Element x y z (fractional)
Re1 0.0315 0.6241 0.0000  7 Re 2.59-2.87
Re2 0.1625 0.4507 0.5000  6 Re 2.59-2.87, 2 Hg 2.87
Re3 0.3759 0.0315 0.0000  7 Re 2.59-2.87
Re4 0.4507 0.8375 0.5000  6 Re 2.59-2.87, 2 Hg 2.87
Re5 0.5493 0.1625 0.5000  6 Re 2.59-2.87, 2 Hg 2.87
Re6 0.6241 0.9685 0.0000  7 Re 2.59-2.87
Re7 0.8375 0.5493 0.5000  6 Re 2.59-2.87, 2 Hg 2.87
Re8 0.9685 0.3759 0.0000  7 Re 2.59-2.87
Hg1 0.1417 0.1590 0.5000  4 Hg 2.87-3.13, 3 Re 3.04-3.12
Hg2 0.1590 0.8583 0.5000  4 Hg 2.87-3.13, 3 Re 3.04-3.12
Hg3 0.3335 0.6288 0.0000  4 Hg 2.87-3.10, 5 Re 2.87-3.14
Hg4 0.3712 0.3335 0.0000  4 Hg 2.87-3.10, 5 Re 2.87-3.14
Hg5 0.6288 0.6665 0.0000  4 Hg 2.87-3.10, 5 Re 2.87-3.14
Hg6 0.6665 0.3712 0.0000  4 Hg 2.87-3.10, 5 Re 2.87-3.14
Hg7 0.8410 0.1417 0.5000  4 Hg 2.87-3.13, 3 Re 3.04-3.12
Hg8 0.8583 0.8410 0.5000  4 Hg 2.87-3.13, 3 Re 3.04-3.12

(10)
The following is a PBE-GGA calculation of an optimized crystal structure of CsHS3, from Alexandria via LeMat-Bulk.

Values from the calculation:
Final energy: -13.09 eV for the cell shown
Offset from the most stable computed form: 1.174 eV/atom

Lattice parameters (Å, degrees): 4.6107 4.6107 4.6107 90.00 90.00 90.00
With the nearest neighbours (Å) after each atom.
Element x y z (fractional)
Cs1 0.0000 0.0000 0.0000  12 S 3.26
H1 0.5000 0.5000 0.5000  6 S 2.31
S1 0.0000 0.5000 0.5000  2 H 2.31
S2 0.5000 0.0000 0.5000  2 H 2.31
S3 0.5000 0.5000 0.0000  2 H 2.31

(11)
The following is a PBE-GGA calculation of an optimized crystal structure of CeEr4Ga15, from Alexandria via LeMat-Bulk.

Values from the calculation:
Final energy: -80.09 eV for the cell shown

Lattice parameters (Å, degrees): 4.2538 4.2538 21.4296 90.00 90.00 90.00
With the nearest neighbours (Å) after each atom.
Element x y z (fractional)
Ce1 0.0000 0.0000 0.0000  12 Ga 3.01-3.06
Er1 0.0000 0.0000 0.2029  12 Ga 3.00-3.02
Er2 0.0000 0.0000 0.4008  12 Ga 3.01
Er3 0.0000 0.0000 0.5992  12 Ga 3.01
Er4 0.0000 0.0000 0.7971  12 Ga 3.00-3.02
Ga1 0.0000 0.5000 0.1028  8 Ga 2.99-3.06, 2 Er 3.02, 2 Ce 3.06
Ga2 0.0000 0.5000 0.3015  4 Er 3.00-3.01, 8 Ga 3.01-3.03
Ga3 0.0000 0.5000 0.5000  8 Ga 3.01, 4 Er 3.01
Ga4 0.0000 0.5000 0.6985  4 Er 3.00-3.01, 8 Ga 3.01-3.03
Ga5 0.0000 0.5000 0.8972  8 Ga 2.99-3.06, 2 Er 3.02, 2 Ce 3.06
Ga6 0.5000 0.0000 0.1028  8 Ga 2.99-3.06, 2 Er 3.02, 2 Ce 3.06
Ga7 0.5000 0.0000 0.3015  4 Er 3.00-3.01, 8 Ga 3.01-3.03
Ga8 0.5000 0.0000 0.5000  8 Ga 3.01, 4 Er 3.01
Ga9 0.5000 0.0000 0.6985  4 Er 3.00-3.01, 8 Ga 3.01-3.03
Ga10 0.5000 0.0000 0.8972  8 Ga 2.99-3.06, 2 Er 3.02, 2 Ce 3.06
Ga11 0.5000 0.5000 0.0000  4 Ce 3.01, 8 Ga 3.06
Ga12 0.5000 0.5000 0.2009  8 Ga 2.99-3.03, 4 Er 3.01
Ga13 0.5000 0.5000 0.4008  8 Ga 3.01, 4 Er 3.01
Ga14 0.5000 0.5000 0.5992  8 Ga 3.01, 4 Er 3.01
Ga15 0.5000 0.5000 0.7991  8 Ga 2.99-3.03, 4 Er 3.01

(12)
The following is a PBE-GGA calculation of an optimized crystal structure of LiCrFe2, from Alexandria via LeMat-Bulk.

Values from the calculation:
Final energy: -27.61 eV for the cell shown
Offset from the most stable computed form: 0.022 eV/atom

Lattice parameters (Å, degrees): 2.4356 2.4356 8.5657 90.00 90.00 109.65
With the nearest neighbours (Å) after each atom.
Element x y z (fractional)
Li1 0.0000 0.0000 0.0000  4 Li 2.44, 2 Fe 2.63
Cr1 0.5000 0.5000 0.7265  2 Fe 2.43, 4 Cr 2.44
Fe1 0.0000 0.0000 0.4942  2 Cr 2.43, 6 Fe 2.44-2.45
Fe2 0.5000 0.5000 0.2595  6 Fe 2.44-2.45, 2 Li 2.63